1.
The following is a PBE-GGA calculation of an optimized crystal structure of BaZrMo2, from the Alexandria database.

a = 4.992 Å, b = 4.992 Å, c = 10.187 Å
α = 75.82°, β = 75.82°, γ = 90.00°
Element x y z (fractional)
Ba (0.750, 0.250, 0.500)
Ba (0.000, 0.000, 0.000)
Mo (0.375, 0.595, 0.750)
Mo (0.405, 0.125, 0.250)
Mo (0.345, 0.625, 0.250)
Mo (0.875, 0.655, 0.750)
Zr (0.250, 0.750, 0.500)
Zr (0.500, 0.500, 0.000)

Space-group type = No. 122

2.
The following is a PBE-GGA calculation of an optimized crystal structure of Ba2Zr2Mo, from the Alexandria database.

a = 4.177 Å, b = 4.177 Å, c = 9.059 Å
α = 76.67°, β = 76.67°, γ = 90.00°
Element x y z (fractional)
Mo (0.000, 0.000, 0.000)
Zr (0.575, 0.575, 0.850)
Zr (0.425, 0.425, 0.150)
Ba (0.750, 0.250, 0.500)
Ba (0.250, 0.750, 0.500)

Space-group type = No. 139

3.
The following is a PBE-GGA calculation of an optimized crystal structure of BaZrMo2, from the Alexandria database.

a = 5.245 Å, b = 5.245 Å, c = 6.761 Å
α = 86.08°, β = 86.08°, γ = 37.13°
Element x y z (fractional)
Mo (0.507, 0.507, 0.380)
Mo (0.993, 0.993, 0.120)
Zr (0.250, 0.250, 0.250)
Ba (0.750, 0.750, 0.750)

Space-group type = No. 12

4.
The following is a PBE-GGA calculation of an optimized crystal structure of BaZrMo2, from the Alexandria database.

a = 3.089 Å, b = 3.089 Å, c = 10.378 Å
α = 90.00°, β = 90.00°, γ = 111.87°
Element x y z (fractional)
Ba (0.500, 0.500, 0.773)
Zr (0.000, 0.000, 0.443)
Mo (0.000, 0.000, 0.053)
Mo (0.500, 0.500, 0.231)

Space-group type = No. 35

5.
The following is a PBE-GGA calculation of an optimized crystal structure of BaZrMo2, from the Alexandria database.

a = 9.946 Å, b = 9.946 Å, c = 9.946 Å
α = 18.87°, β = 18.87°, γ = 18.87°
Element x y z (fractional)
Mo (0.512, 0.512, 0.512)
Mo (0.988, 0.988, 0.988)
Zr (0.250, 0.250, 0.250)
Ba (0.750, 0.750, 0.750)

Space-group type = No. 166

6.
The following is a PBE-GGA calculation of an optimized crystal structure of BaZrMo2, from the Alexandria database.

a = 3.406 Å, b = 4.978 Å, c = 4.978 Å
α = 90.00°, β = 90.00°, γ = 90.00°
Element x y z (fractional)
Ba (0.500, 0.000, 0.500)
Zr (0.500, 0.500, 0.000)
Mo (0.000, 0.000, 0.000)
Mo (0.000, 0.500, 0.500)

Space-group type = No. 123

no.,total moment (μB/f.u.),distance to the lowest polymorph of the same formula (eV per formula unit)
1,0.00,3.29
2,0.00,3.60
3,0.00,1.03
4,0.00,0.83
5,0.00,2.10
6,0.00,2.67